Entry 1:
BaIrCl | GGA-PBE | relaxed

Polymorph energy (0 for the lowest one)   1324.2 meV per atom
Energy relative to the elements, uncorrected   0.41 eV/f.u.
Total moment   2.0 μB per cell

a = 5.4249 Å, b = 5.4249 Å, c = 5.4249 Å
α = 60.00°, β = 60.00°, γ = 60.00°
With the nearest neighbours (Å) after each atom.
Element x y z (fractional)
Ir (0.5000, 0.5000, 0.5000)  4 Ba 3.32
Cl (0.0000, 0.0000, 0.0000)  4 Ba 3.32
Ba (0.2500, 0.2500, 0.2500)  4 Cl 3.32, 4 Ir 3.32

=====

Entry 2:
SrCuPb2 | GGA-PBE | relaxed

Total moment   0.0 μB per cell
Energy of formation   -171 meV/atom

a = 4.6245 Å, b = 4.6245 Å, c = 6.7610 Å
α = 70.00°, β = 70.00°, γ = 60.07°
With the nearest neighbours (Å) after each atom.
Element x y z (fractional)
Sr (0.7500, 0.7500, 0.7500)  6 Pb 3.41
Pb (0.9696, 0.9696, 0.0913)  3 Cu 2.84-2.85
Pb (0.5304, 0.5304, 0.4087)  3 Cu 2.84-2.85
Cu (0.2500, 0.2500, 0.2500)  6 Pb 2.84-2.85

=====

Entry 3:
AlCd2Pb | GGA-PBE | relaxed

Polymorph energy (0 for the lowest one)   0.0 meV per atom
Total moment   0.0 μB per cell
Energy of formation   112 meV/atom

a = 11.1242 Å, b = 11.1242 Å, c = 11.1242 Å
α = 16.46°, β = 16.46°, γ = 16.46°
With the nearest neighbours (Å) after each atom.
Element x y z (fractional)
Cd (0.0082, 0.0082, 0.0082)  3 Al 3.08, 6 Cd 3.18
Al (0.7500, 0.7500, 0.7500)  6 Cd 3.08, 6 Al 3.18
Cd (0.4918, 0.4918, 0.4918)  3 Al 3.08, 6 Cd 3.18
Pb (0.2500, 0.2500, 0.2500)  6 Pb 3.18, 6 Cd 3.53